Arrangement w

# BaPrTe2 | the Alexandria database | PBE | relaxed
data_BaPrTe2
_space_group_name_H-M_alt 'P 1'
_space_group_IT_number 1
_cell_length_a 8.701
_cell_length_b 8.701
_cell_length_c 8.701
_cell_angle_alpha 30.64
_cell_angle_beta 30.64
_cell_angle_gamma 30.64
loop_
_space_group_symop_operation_xyz
'x,y,z'
loop_
_atom_site_label
_atom_site_type_symbol
_atom_site_fract_x
_atom_site_fract_y
_atom_site_fract_z
Ba1 Ba 0.000 0.000 0.000
Pr1 Pr 0.173 0.173 0.173
Te1 Te 0.579 0.579 0.579
Te2 Te 0.762 0.762 0.762
# Mass density ... 5.8 g cm⁻³
# Space group ... R3m (160)

Arrangement x

# BaPrTe2 | the Alexandria database | PBE | relaxed
data_BaPrTe2
_space_group_name_H-M_alt 'P 1'
_space_group_IT_number 1
_cell_length_a 8.384
_cell_length_b 8.384
_cell_length_c 8.384
_cell_angle_alpha 32.43
_cell_angle_beta 32.43
_cell_angle_gamma 32.43
loop_
_space_group_symop_operation_xyz
'x,y,z'
loop_
_atom_site_label
_atom_site_type_symbol
_atom_site_fract_x
_atom_site_fract_y
_atom_site_fract_z
Ba1 Ba 0.000 0.000 0.000
Pr1 Pr 0.500 0.500 0.500
Te1 Te 0.242 0.242 0.242
Te2 Te 0.758 0.758 0.758
# Mass density ... 5.9 g cm⁻³
# Space group ... R-3m (166)

Arrangement y

# BaPrTe2 | the Alexandria database | PBE | relaxed
data_BaPrTe2
_space_group_name_H-M_alt 'P 1'
_space_group_IT_number 1
_cell_length_a 4.639
_cell_length_b 4.639
_cell_length_c 16.161
_cell_angle_alpha 90.00
_cell_angle_beta 90.00
_cell_angle_gamma 120.00
loop_
_space_group_symop_operation_xyz
'x,y,z'
loop_
_atom_site_label
_atom_site_type_symbol
_atom_site_fract_x
_atom_site_fract_y
_atom_site_fract_z
Ba1 Ba 0.333 0.667 0.250
Ba2 Ba 0.667 0.333 0.750
Pr1 Pr 0.000 0.000 0.000
Pr2 Pr 0.000 0.000 0.500
Te1 Te 0.333 0.667 0.613
Te2 Te 0.333 0.667 0.887
Te3 Te 0.667 0.333 0.113
Te4 Te 0.667 0.333 0.387
# Mass density ... 5.9 g cm⁻³
# Space group ... P6_3/mmc (194)

Q: Which of them is the least stable? A: arrangement w.

Arrangement w

# BaPrTl | the Alexandria database | PBE | relaxed
data_BaPrTl
_space_group_name_H-M_alt 'P 1'
_space_group_IT_number 1
_cell_length_a 5.767
_cell_length_b 5.767
_cell_length_c 7.661
_cell_angle_alpha 90.00
_cell_angle_beta 90.00
_cell_angle_gamma 120.00
loop_
_space_group_symop_operation_xyz
'x,y,z'
loop_
_atom_site_label
_atom_site_type_symbol
_atom_site_fract_x
_atom_site_fract_y
_atom_site_fract_z
Ba1 Ba 0.000 0.000 0.000
Ba2 Ba 0.000 0.000 0.500
Pr1 Pr 0.333 0.667 0.250
Pr2 Pr 0.667 0.333 0.750
Tl1 Tl 0.333 0.667 0.750
Tl2 Tl 0.667 0.333 0.250
# Mass density ... 7.3 g cm⁻³
# Space group ... P6_3/mmc (194)

Arrangement x

# BaPrTl | the Alexandria database | PBE | relaxed
data_BaPrTl
_space_group_name_H-M_alt 'P 1'
_space_group_IT_number 1
_cell_length_a 7.632
_cell_length_b 7.632
_cell_length_c 7.632
_cell_angle_alpha 148.57
_cell_angle_beta 148.57
_cell_angle_gamma 45.05
loop_
_space_group_symop_operation_xyz
'x,y,z'
loop_
_atom_site_label
_atom_site_type_symbol
_atom_site_fract_x
_atom_site_fract_y
_atom_site_fract_z
Ba1 Ba 0.000 0.000 0.000
Pr1 Pr 0.276 0.276 0.000
Tl1 Tl 0.668 0.668 0.000
# Mass density ... 6.7 g cm⁻³
# Space group ... I4mm (107)

Arrangement y

# BaPrTl | the Alexandria database | PBE | relaxed
data_BaPrTl
_space_group_name_H-M_alt 'P 1'
_space_group_IT_number 1
_cell_length_a 5.343
_cell_length_b 5.343
_cell_length_c 8.497
_cell_angle_alpha 90.00
_cell_angle_beta 90.00
_cell_angle_gamma 90.00
loop_
_space_group_symop_operation_xyz
'x,y,z'
loop_
_atom_site_label
_atom_site_type_symbol
_atom_site_fract_x
_atom_site_fract_y
_atom_site_fract_z
Ba1 Ba 0.250 0.250 0.137
Ba2 Ba 0.750 0.750 0.863
Pr1 Pr 0.250 0.750 0.500
Pr2 Pr 0.750 0.250 0.500
Tl1 Tl 0.250 0.250 0.727
Tl2 Tl 0.750 0.750 0.273
# Mass density ... 6.6 g cm⁻³
# Space group ... P4/nmm (129)

Q: Which of them is the least stable? A: arrangement x.

Arrangement w

# BaPrTm2 | the Alexandria database | PBE | relaxed
data_BaPrTm2
_space_group_name_H-M_alt 'P 1'
_space_group_IT_number 1
_cell_length_a 3.731
_cell_length_b 3.731
_cell_length_c 10.701
_cell_angle_alpha 90.00
_cell_angle_beta 90.00
_cell_angle_gamma 90.00
loop_
_space_group_symop_operation_xyz
'x,y,z'
loop_
_atom_site_label
_atom_site_type_symbol
_atom_site_fract_x
_atom_site_fract_y
_atom_site_fract_z
Ba1 Ba 0.000 0.000 0.000
Pr1 Pr 0.000 0.000 0.500
Tm1 Tm 0.500 0.500 0.279
Tm2 Tm 0.500 0.500 0.721
# Mass density ... 6.9 g cm⁻³
# Space group ... P4/mmm (123)

Arrangement x

# BaPrTm2 | the Alexandria database | PBE | relaxed
data_BaPrTm2
_space_group_name_H-M_alt 'P 1'
_space_group_IT_number 1
_cell_length_a 13.045
_cell_length_b 13.045
_cell_length_c 13.045
_cell_angle_alpha 15.96
_cell_angle_beta 15.96
_cell_angle_gamma 15.96
loop_
_space_group_symop_operation_xyz
'x,y,z'
loop_
_atom_site_label
_atom_site_type_symbol
_atom_site_fract_x
_atom_site_fract_y
_atom_site_fract_z
Ba1 Ba 0.000 0.000 0.000
Pr1 Pr 0.500 0.500 0.500
Tm1 Tm 0.093 0.093 0.093
Tm2 Tm 0.907 0.907 0.907
# Mass density ... 7.0 g cm⁻³
# Space group ... R-3m (166)

Q: Which of them is the least stable? A: arrangement x.

Arrangement w

# BaPr2Y | the Alexandria database | PBE | relaxed
data_BaPr2Y
_space_group_name_H-M_alt 'P 1'
_space_group_IT_number 1
_cell_length_a 13.404
_cell_length_b 13.404
_cell_length_c 13.404
_cell_angle_alpha 15.92
_cell_angle_beta 15.92
_cell_angle_gamma 15.92
loop_
_space_group_symop_operation_xyz
'x,y,z'
loop_
_atom_site_label
_atom_site_type_symbol
_atom_site_fract_x
_atom_site_fract_y
_atom_site_fract_z
Ba1 Ba 0.000 0.000 0.000
Pr1 Pr 0.094 0.094 0.094
Pr2 Pr 0.906 0.906 0.906
Y1 Y 0.500 0.500 0.500
# Mass density ... 5.3 g cm⁻³
# Space group ... R-3m (166)

Arrangement x

# BaPr2Y | the Alexandria database | PBE | relaxed
data_BaPr2Y
_space_group_name_H-M_alt 'P 1'
_space_group_IT_number 1
_cell_length_a 5.328
_cell_length_b 5.328
_cell_length_c 5.467
_cell_angle_alpha 90.00
_cell_angle_beta 90.00
_cell_angle_gamma 90.00
loop_
_space_group_symop_operation_xyz
'x,y,z'
loop_
_atom_site_label
_atom_site_type_symbol
_atom_site_fract_x
_atom_site_fract_y
_atom_site_fract_z
Ba1 Ba 0.000 0.000 0.000
Pr1 Pr 0.000 0.500 0.500
Pr2 Pr 0.500 0.000 0.500
Y1 Y 0.500 0.500 0.000
# Mass density ... 5.4 g cm⁻³
# Space group ... P4/mmm (123)

Q: Which of them is the least stable? A: arrangement x.

Arrangement w

# BaPr2Y | the Alexandria database | PBE | relaxed
data_BaPr2Y
_space_group_name_H-M_alt 'P 1'
_space_group_IT_number 1
_cell_length_a 12.818
_cell_length_b 12.818
_cell_length_c 12.818
_cell_angle_alpha 16.97
_cell_angle_beta 16.97
_cell_angle_gamma 16.97
loop_
_space_group_symop_operation_xyz
'x,y,z'
loop_
_atom_site_label
_atom_site_type_symbol
_atom_site_fract_x
_atom_site_fract_y
_atom_site_fract_z
Ba1 Ba 0.000 0.000 0.000
Pr1 Pr 0.575 0.575 0.575
Pr2 Pr 0.757 0.757 0.757
Y1 Y 0.166 0.166 0.166
# Mass density ... 5.4 g cm⁻³
# Space group ... R3m (160)

Arrangement x

# BaPr2Y | the Alexandria database | PBE | relaxed
data_BaPr2Y
_space_group_name_H-M_alt 'P 1'
_space_group_IT_number 1
_cell_length_a 3.798
_cell_length_b 3.798
_cell_length_c 10.966
_cell_angle_alpha 90.00
_cell_angle_beta 90.00
_cell_angle_gamma 90.00
loop_
_space_group_symop_operation_xyz
'x,y,z'
loop_
_atom_site_label
_atom_site_type_symbol
_atom_site_fract_x
_atom_site_fract_y
_atom_site_fract_z
Ba1 Ba 0.000 0.000 0.000
Pr1 Pr 0.500 0.500 0.281
Pr2 Pr 0.500 0.500 0.719
Y1 Y 0.000 0.000 0.500
# Mass density ... 5.3 g cm⁻³
# Space group ... P4/mmm (123)

Q: Which of them is the least stable? A: arrangement w.

Arrangement w

# BaPrZn2 | the Alexandria database | PBE | relaxed
data_BaPrZn2
_space_group_name_H-M_alt 'P 1'
_space_group_IT_number 1
_cell_length_a 9.489
_cell_length_b 9.489
_cell_length_c 9.489
_cell_angle_alpha 24.81
_cell_angle_beta 24.81
_cell_angle_gamma 24.81
loop_
_space_group_symop_operation_xyz
'x,y,z'
loop_
_atom_site_label
_atom_site_type_symbol
_atom_site_fract_x
_atom_site_fract_y
_atom_site_fract_z
Ba1 Ba 0.000 0.000 0.000
Pr1 Pr 0.500 0.500 0.500
Zn1 Zn 0.241 0.241 0.241
Zn2 Zn 0.759 0.759 0.759
# Mass density ... 5.1 g cm⁻³
# Space group ... R-3m (166)

Arrangement x

# BaPrZn2 | the Alexandria database | PBE | relaxed
data_BaPrZn2
_space_group_name_H-M_alt 'P 1'
_space_group_IT_number 1
_cell_length_a 5.514
_cell_length_b 5.514
_cell_length_c 5.514
_cell_angle_alpha 60.00
_cell_angle_beta 60.00
_cell_angle_gamma 60.00
loop_
_space_group_symop_operation_xyz
'x,y,z'
loop_
_atom_site_label
_atom_site_type_symbol
_atom_site_fract_x
_atom_site_fract_y
_atom_site_fract_z
Ba1 Ba 0.000 0.000 0.000
Pr1 Pr 0.500 0.500 0.500
Zn1 Zn 0.250 0.250 0.250
Zn2 Zn 0.750 0.750 0.750
# Mass density ... 5.7 g cm⁻³
# Space group ... Fm-3m (225)

Q: Which of them is the least stable? A: arrangement w.

Arrangement w

# BaPr2Zn | the Alexandria database | PBE | relaxed
data_BaPr2Zn
_space_group_name_H-M_alt 'P 1'
_space_group_IT_number 1
_cell_length_a 12.049
_cell_length_b 12.049
_cell_length_c 12.049
_cell_angle_alpha 18.19
_cell_angle_beta 18.19
_cell_angle_gamma 18.19
loop_
_space_group_symop_operation_xyz
'x,y,z'
loop_
_atom_site_label
_atom_site_type_symbol
_atom_site_fract_x
_atom_site_fract_y
_atom_site_fract_z
Ba1 Ba 0.000 0.000 0.000
Pr1 Pr 0.106 0.106 0.106
Pr2 Pr 0.894 0.894 0.894
Zn1 Zn 0.500 0.500 0.500
# Mass density ... 5.4 g cm⁻³
# Space group ... R-3m (166)

Arrangement x

# BaPr2Zn | the Alexandria database | PBE | relaxed
data_BaPr2Zn
_space_group_name_H-M_alt 'P 1'
_space_group_IT_number 1
_cell_length_a 3.834
_cell_length_b 3.834
_cell_length_c 9.738
_cell_angle_alpha 90.00
_cell_angle_beta 90.00
_cell_angle_gamma 90.00
loop_
_space_group_symop_operation_xyz
'x,y,z'
loop_
_atom_site_label
_atom_site_type_symbol
_atom_site_fract_x
_atom_site_fract_y
_atom_site_fract_z
Ba1 Ba 0.000 0.000 0.000
Pr1 Pr 0.500 0.500 0.326
Pr2 Pr 0.500 0.500 0.674
Zn1 Zn 0.000 0.000 0.500
# Mass density ... 5.6 g cm⁻³
# Space group ... P4/mmm (123)

Q: Which of them is the least stable? A: arrangement w.

Arrangement w

# Ba3Pt5 | the Alexandria database | PBE | relaxed
data_Ba3Pt5
_space_group_name_H-M_alt 'P 1'
_space_group_IT_number 1
_cell_length_a 6.401
_cell_length_b 6.401
_cell_length_c 4.774
_cell_angle_alpha 90.00
_cell_angle_beta 90.00
_cell_angle_gamma 97.74
loop_
_space_group_symop_operation_xyz
'x,y,z'
loop_
_atom_site_label
_atom_site_type_symbol
_atom_site_fract_x
_atom_site_fract_y
_atom_site_fract_z
Ba1 Ba 0.000 0.000 0.000
Ba2 Ba 0.268 0.732 0.500
Ba3 Ba 0.732 0.268 0.500
Pt1 Pt 0.000 0.500 0.000
Pt2 Pt 0.262 0.262 0.500
Pt3 Pt 0.500 0.000 0.000
Pt4 Pt 0.500 0.500 0.000
Pt5 Pt 0.738 0.738 0.500
# Mass density ... 11.9 g cm⁻³
# Space group ... Cmmm (65)

Arrangement x

# Ba3Pt5 | the Alexandria database | PBE | relaxed
data_Ba3Pt5
_space_group_name_H-M_alt 'P 1'
_space_group_IT_number 1
_cell_length_a 10.352
_cell_length_b 10.352
_cell_length_c 4.884
_cell_angle_alpha 90.00
_cell_angle_beta 90.00
_cell_angle_gamma 120.00
loop_
_space_group_symop_operation_xyz
'x,y,z'
loop_
_atom_site_label
_atom_site_type_symbol
_atom_site_fract_x
_atom_site_fract_y
_atom_site_fract_z
Ba1 Ba 0.000 0.360 0.250
Ba2 Ba 0.000 0.640 0.750
Ba3 Ba 0.360 0.000 0.250
Ba4 Ba 0.360 0.360 0.750
Ba5 Ba 0.640 0.000 0.750
Ba6 Ba 0.640 0.640 0.250
Pt1 Pt 0.000 0.153 0.750
Pt2 Pt 0.000 0.847 0.250
Pt3 Pt 0.153 0.000 0.750
Pt4 Pt 0.153 0.153 0.250
Pt5 Pt 0.333 0.667 0.000
Pt6 Pt 0.333 0.667 0.500
Pt7 Pt 0.667 0.333 0.000
Pt8 Pt 0.667 0.333 0.500
Pt9 Pt 0.847 0.000 0.250
Pt10 Pt 0.847 0.847 0.750
# Mass density ... 10.2 g cm⁻³
# Space group ... P6_3/mcm (193)

Arrangement y

# Ba3Pt5 | the Alexandria database | PBE | relaxed
data_Ba3Pt5
_space_group_name_H-M_alt 'P 1'
_space_group_IT_number 1
_cell_length_a 9.621
_cell_length_b 9.621
_cell_length_c 7.331
_cell_angle_alpha 91.93
_cell_angle_beta 91.93
_cell_angle_gamma 135.55
loop_
_space_group_symop_operation_xyz
'x,y,z'
loop_
_atom_site_label
_atom_site_type_symbol
_atom_site_fract_x
_atom_site_fract_y
_atom_site_fract_z
Ba1 Ba 0.193 0.807 0.000
Ba2 Ba 0.253 0.253 0.748
Ba3 Ba 0.301 0.699 0.500
Ba4 Ba 0.699 0.301 0.500
Ba5 Ba 0.747 0.747 0.252
Ba6 Ba 0.807 0.193 0.000
Pt1 Pt 0.000 0.242 0.384
Pt2 Pt 0.000 0.758 0.616
Pt3 Pt 0.237 0.237 0.233
Pt4 Pt 0.242 0.000 0.384
Pt5 Pt 0.264 0.508 0.123
Pt6 Pt 0.492 0.736 0.877
Pt7 Pt 0.508 0.264 0.123
Pt8 Pt 0.736 0.492 0.877
Pt9 Pt 0.758 0.000 0.616
Pt10 Pt 0.763 0.763 0.767
# Mass density ... 9.7 g cm⁻³
# Space group ... C2/m (12)

Q: Which of them is the least stable? A: arrangement w.